Record 1
Density functional theory data (PBE) for an optimized crystal structure of RbInPb.

a = 5.029 Å, b = 5.029 Å, c = 5.932 Å
α = 90.00°, β = 90.00°, γ = 120.00°
Fractional coordinates of all 3 atoms:
Rb 0.000 0.000 0.000
In 0.333 0.667 0.542
Pb 0.667 0.333 0.462

Results
For the formation energy, the calculation gives -0.1073 eV per atom. The magnetic moment comes out at 0.0 μB per cell.

=====

Record 2
Density functional theory data (PBE) for an optimized crystal structure of ScTa2Cu.

a = 9.790 Å, b = 9.790 Å, c = 9.790 Å
α = 17.28°, β = 17.28°, γ = 17.28°
Fractional coordinates of all 4 atoms:
Sc 0.000 0.000 0.000
Ta 0.244 0.244 0.244
Ta 0.756 0.756 0.756
Cu 0.500 0.500 0.500

Results
For the formation energy, the calculation gives 0.2895 eV per atom. The magnetic moment comes out at 0.0 μB per cell.

=====

Record 3
Density functional theory data (PBE) for an optimized crystal structure of Pr6C2I3O.

a = 6.735 Å, b = 6.735 Å, c = 8.100 Å
α = 97.97°, β = 97.97°, γ = 120.00°
Fractional coordinates of all 12 atoms:
Pr 0.108 0.443 0.828
Pr 0.223 0.223 0.173
Pr 0.443 0.108 0.828
Pr 0.557 0.892 0.172
Pr 0.777 0.777 0.827
Pr 0.892 0.557 0.172
C 0.166 0.834 0.000
C 0.834 0.166 0.000
I 0.000 0.000 0.500
I 0.331 0.669 0.500
I 0.669 0.331 0.500
O 0.500 0.500 0.000

Results
The value obtained for the formation energy (no corrections) is -1.068 eV/atom. The magnetic moment comes out at 0.0 μB per cell.

=====

Record 4
Density functional theory data (PBE) for an optimized crystal structure of TiInP3.

a = 4.745 Å, b = 4.745 Å, c = 4.745 Å
α = 90.00°, β = 90.00°, γ = 90.00°
Fractional coordinates of all 5 atoms:
Ti 0.000 0.000 0.000
In 0.500 0.500 0.500
P 0.000 0.000 0.500
P 0.000 0.500 0.000
P 0.500 0.000 0.000

Results
For the formation energy, the calculation gives 0.1433 eV per atom. The magnetic moment comes out at 0.0 μB per cell.

=====

Record 5
Density functional theory data (PBE) for an optimized crystal structure of AcTb5Nd8.

a = 8.687 Å, b = 8.687 Å, c = 8.687 Å
α = 111.47°, β = 111.47°, γ = 105.55°
Fractional coordinates of all 14 atoms:
Ac 0.000 0.000 0.000
Tb 0.027 0.436 0.820
Tb 0.250 0.750 0.500
Tb 0.564 0.384 0.591
Tb 0.616 0.207 0.180
Tb 0.793 0.973 0.409
Nd 0.092 0.332 0.423
Nd 0.282 0.178 0.752
Nd 0.331 0.908 0.239
Nd 0.426 0.530 0.248
Nd 0.470 0.718 0.896
Nd 0.668 0.092 0.761
Nd 0.822 0.574 0.104
Nd 0.908 0.669 0.577

Results
For the formation energy, the calculation gives 0.2389 eV per atom. The magnetic moment comes out at 0.0 μB per cell.

=====

Record 6
Density functional theory data (PBE) for an optimized crystal structure of V3CuS.

a = 4.288 Å, b = 4.288 Å, c = 4.288 Å
α = 90.00°, β = 90.00°, γ = 90.00°
Fractional coordinates of all 5 atoms:
V 0.000 0.000 0.500
V 0.000 0.500 0.000
V 0.500 0.000 0.000
Cu 0.500 0.500 0.500
S 0.000 0.000 0.000

Results
The value obtained for the formation energy (no corrections) is 0.255 eV/atom. The magnetic moment comes out at 4.0 μB per cell.

=====

Record 7
Density functional theory data (PBE) for an optimized crystal structure of BePtAu2.

a = 3.350 Å, b = 6.544 Å, c = 6.544 Å
α = 25.36°, β = 90.00°, γ = 90.00°
Fractional coordinates of all 4 atoms:
Be 0.000 0.000 0.000
Pt 0.500 0.563 0.563
Au 0.000 0.213 0.213
Au 0.500 0.863 0.863

Results
For the formation energy, the calculation gives -0.2333 eV per atom. The magnetic moment comes out at 0.0 μB per cell.

=====

Record 8
Density functional theory data (PBE) for an optimized crystal structure of Pm4CuGe.

a = 4.971 Å, b = 4.971 Å, c = 7.143 Å
α = 90.00°, β = 90.00°, γ = 90.00°
Fractional coordinates of all 6 atoms:
Pm 0.000 0.500 0.244
Pm 0.000 0.500 0.756
Pm 0.500 0.000 0.244
Pm 0.500 0.000 0.756
Cu 0.000 0.000 0.000
Ge 0.500 0.500 0.500

Results
For the formation energy, the calculation gives -0.1840 eV per atom. The magnetic moment comes out at 0.0 μB per cell.

=====

Record 9
Density functional theory data (PBE) for an optimized crystal structure of CsSn2I6.

a = 6.127 Å, b = 6.127 Å, c = 12.266 Å
α = 90.00°, β = 90.00°, γ = 90.00°
Fractional coordinates of all 9 atoms:
Cs 0.000 0.000 0.000
Sn 0.500 0.500 0.258
Sn 0.500 0.500 0.742
I 0.000 0.500 0.233
I 0.000 0.500 0.767
I 0.500 0.000 0.233
I 0.500 0.000 0.767
I 0.500 0.500 0.000
I 0.500 0.500 0.500

Results
The value obtained for the formation energy (no corrections) is -0.651 eV/atom. The magnetic moment comes out at 0.0 μB per cell.

=====

Record 10
Density functional theory data (PBE) for an optimized crystal structure of Tb8Pm2Er3.

a = 10.979 Å, b = 10.979 Å, c = 5.563 Å
α = 90.02°, β = 90.02°, γ = 40.58°
Fractional coordinates of all 13 atoms:
Tb 0.105 0.683 0.000
Tb 0.163 0.163 0.501
Tb 0.317 0.895 0.000
Tb 0.371 0.371 0.500
Tb 0.629 0.629 0.500
Tb 0.683 0.105 0.000
Tb 0.837 0.837 0.499
Tb 0.895 0.317 0.000
Pm 0.259 0.259 0.001
Pm 0.741 0.741 0.999
Er 0.214 0.786 0.500
Er 0.500 0.500 0.000
Er 0.786 0.214 0.500

Results
For the formation energy, the calculation gives 0.2306 eV per atom. The magnetic moment comes out at 0.0 μB per cell.

=====

Record 11
Density functional theory data (PBE) for an optimized crystal structure of Na2UPaN4.

a = 6.042 Å, b = 3.559 Å, c = 6.154 Å
α = 90.00°, β = 109.86°, γ = 90.00°
Fractional coordinates of all 8 atoms:
Na 0.000 0.000 0.000
Na 0.000 0.500 0.500
U 0.500 0.000 0.500
Pa 0.500 0.500 0.000
N 0.318 0.500 0.276
N 0.320 0.000 0.768
N 0.680 0.000 0.232
N 0.682 0.500 0.724

Results
The value obtained for the formation energy (no corrections) is -1.136 eV/atom. The magnetic moment comes out at 1.0 μB per cell.

=====

Record 12
Density functional theory data (PBE) for an optimized crystal structure of Ta2FePt.

a = 4.009 Å, b = 4.009 Å, c = 3.859 Å
α = 90.00°, β = 90.00°, γ = 90.00°
Fractional coordinates of all 4 atoms:
Ta 0.000 0.500 0.000
Ta 0.500 0.000 0.000
Fe 0.000 0.000 0.500
Pt 0.500 0.500 0.500

Results
For the formation energy, the calculation gives -0.2916 eV per atom. The magnetic moment comes out at 0.6 μB per cell.